# 1
CaEuPH | PBE-GGA | optimized geometry

Unit cell a=4.873 b=4.873 c=4.873 alpha=60.00 beta=60.00 gamma=60.00
Last column: magnetic moment on the atom in μB.
Positions (direct):
Ca: 0.500 0.500 0.500  0.03
P: 0.750 0.750 0.750  -0.05
H: 0.250 0.250 0.250  -0.02
Eu: 0.000 0.000 0.000  6.85

Summary:
Calculated total energy (eV per formula unit): -24.1
DOS(E_F) (states/eV/f.u.): 8.15
Magnetization (μB per formula unit): 7.00

=====

# 2
BeMoOs2 | PBE-GGA | optimized geometry

Unit cell a=2.670 b=2.670 c=8.526 alpha=90.00 beta=90.00 gamma=114.84
Positions (direct):
Mo: 0.500 0.500 0.734
Os: 0.500 0.500 0.274
Os: 0.000 0.000 0.000
Be: 0.000 0.000 0.493

Summary:
Calculated total energy (eV per formula unit): -35.5
ΔE_f (eV per atom): 0.374
DOS(E_F) (states/eV/f.u.): 4.15
Magnetization (μB per formula unit): 0.00

=====

# 3
SrAgB2 | PBE-GGA | optimized geometry

Unit cell a=4.505 b=4.505 c=4.505 alpha=60.00 beta=60.00 gamma=60.00
Positions (direct):
Sr: 0.000 0.000 0.000
Ag: 0.500 0.500 0.500
B: 0.250 0.250 0.250
B: 0.750 0.750 0.750

Summary:
Calculated total energy (eV per formula unit): -13.4
ΔE_f (eV per atom): 1.130
DOS(E_F) (states/eV/f.u.): 2.24
Magnetization (μB per formula unit): 0.00
Energy relative to the lowest polymorph listed for this composition (meV per atom): 473